# ScOsPb2 PBE optimized geometry
# VASP energy, eV/atom: -6.05
# Energy above the most stable polymorph in this dataset, eV per formula unit: 0.66
# Formation energy from the elements, eV/atom: 0.20
data_ScOsPb2
_space_group_name_H-M_alt 'C 1 m 1'
_space_group_IT_number 8
_cell_length_a 10.1089
_cell_length_b 3.3287
_cell_length_c 6.4823
_cell_angle_alpha 90.00
_cell_angle_beta 117.54
_cell_angle_gamma 90.00
loop_
_space_group_symop_operation_xyz
'x,y,z'
'x,-y,z'
'x+1/2,y+1/2,z'
'x+1/2,-y+1/2,z'
loop_
_atom_site_label
_atom_site_fract_x
_atom_site_fract_y
_atom_site_fract_z
_atom_site_occupancy
Sc1 0.0000 0.0000 0.0000 1
Os1 0.3483 0.0000 0.6524 1
Pb1 0.1265 0.5000 0.6531 1
Pb2 0.3127 0.5000 0.2607 1